DFT (PBE) results for SmGaNi5Ge2 after structural relaxation.

Results
Formation energy from the elements ... -0.2192 eV/atom
Uncorrected energy ... -47.86 eV for the cell shown
Total magnetization ... 0.0000 μB/atom

a = 3.775 Å, b = 3.775 Å, c = 10.359 Å
α = 90.00°, β = 90.00°, γ = 90.00°
Space group P4/mmm (No. 123)
Inequivalent atoms, fractional coordinates:
Sm: 0.000 0.000 0.000 x1
Ga: 0.000 0.000 0.500 x1
Ni: 0.000 0.500 0.355 x4
Ni: 0.500 0.500 0.000 x1
Ge: 0.500 0.500 0.220 x2

=====

DFT (PBE) results for Cr2InPd2 after structural relaxation.

Results
Formation energy from the elements ... 0.1381 eV/atom
Uncorrected energy ... -63.36 eV for the cell shown
Total magnetization ... 1.4863 μB/atom

a = 7.275 Å, b = 7.275 Å, c = 3.253 Å
α = 90.00°, β = 90.00°, γ = 90.00°
Space group P4/mbm (No. 127)
Inequivalent atoms, fractional coordinates:
Cr: 0.159 0.341 0.000 x4
In: 0.000 0.000 0.500 x2
Pd: 0.137 0.637 0.500 x4

=====

DFT (PBE) results for Pm2YLu after structural relaxation.

Results
Formation energy from the elements ... 0.0222 eV/atom
Uncorrected energy ... -20.40 eV for the cell shown
Polymorph energy (0 for the lowest one) ... 2 kJ/mol of formula units
Total magnetization ... 0.0000 μB/atom

a = 5.093 Å, b = 5.093 Å, c = 5.012 Å
α = 90.00°, β = 90.00°, γ = 90.00°
Space group P4/mmm (No. 123)
Inequivalent atoms, fractional coordinates:
Pm: 0.000 0.500 0.000 x2
Y: 0.000 0.000 0.500 x1
Lu: 0.500 0.500 0.500 x1

=====

DFT (PBE) results for Nd8In2Hg after structural relaxation.

Results
Formation energy from the elements ... -0.1991 eV/atom
Uncorrected energy ... -92.22 eV for the cell shown
Polymorph energy (0 for the lowest one) ... 31 kJ/mol of formula units
Total magnetization ... 0.0001 μB/atom

a = 5.481 Å, b = 7.481 Å, c = 17.049 Å
α = 90.00°, β = 90.00°, γ = 90.00°
Space group Immm (No. 71)
Inequivalent atoms, fractional coordinates:
Nd: 0.000 0.000 0.193 x4
Nd: 0.000 0.230 0.361 x8
Nd: 0.000 0.262 0.000 x4
In: 0.000 0.500 0.187 x4
Hg: 0.000 0.500 0.500 x2